# SrMgGa4

SrMgGa4 after structural relaxation (PBE, Alexandria).

Results
- E_tot: -16.74 eV/cell
- Space group: F-43m, No. 216
- ΔE_f: -0.23 eV/atom
- Spin magnetization: 0.0 μB/f.u.

POSCAR file:
```
SrMgGa4
1.0
0.000 4.027 4.027
4.027 0.000 4.027
4.027 4.027 0.000
Sr Mg Ga
1 1 4
Direct
0.000 0.000 0.000
0.250 0.250 0.250
0.125 0.625 0.625
0.625 0.125 0.625
0.625 0.625 0.125
0.625 0.625 0.625
```

# SmHSe

SmHSe after structural relaxation (PBE, Alexandria).

Results
- E_tot: -28.58 eV/cell
- Space group: I4mm, No. 107
- Spin magnetization: 0.0 μB/f.u.

POSCAR file:
```
SmHSe
1.0
3.915 0.000 0.000
0.000 3.915 0.000
0.000 0.000 7.987
Sm H Se
2 2 2
Direct
0.000 0.000 0.000
0.500 0.500 0.500
0.000 0.000 0.724
0.500 0.500 0.224
0.000 0.000 0.371
0.500 0.500 0.871
```

# CoAs2Br

CoAs2Br after structural relaxation (PBE, Alexandria).

Results
- Formation energy (no corrections): 0.11 eV per atom
- E_tot: -35.30 eV/cell
- Space group: Imm2, No. 44
- Spin magnetization: 0.0 μB/f.u.

POSCAR file:
```
CoAs2Br
1.0
3.313 0.000 0.000
0.000 3.883 0.000
0.000 0.000 13.389
Co As Br
2 4 2
Direct
0.000 0.000 0.000
0.500 0.500 0.500
0.000 0.000 0.517
0.000 0.500 0.639
0.500 0.000 0.139
0.500 0.500 0.017
0.000 0.500 0.345
0.500 0.000 0.845
```

# Ce3CuSiSe7

Ce3CuSiSe7 after structural relaxation (PBE, Alexandria).

Results
- Formation energy (no corrections): -1.31 eV per atom
- E_tot: -134.85 eV/cell
- Space group: P6_3, No. 173
- Spin magnetization: 3.0 μB/f.u.

POSCAR file:
```
Ce3CuSiSe7
1.0
10.655 0.000 0.000
-5.327 9.227 0.000
0.000 0.000 6.096
Ce Cu Si Se
6 2 2 14
Direct
0.127 0.356 0.000
0.228 0.873 0.000
0.356 0.228 0.500
0.644 0.772 0.000
0.772 0.127 0.500
0.873 0.644 0.500
0.000 0.000 0.472
0.000 0.000 0.972
0.333 0.667 0.588
0.667 0.333 0.088
0.091 0.254 0.485
0.105 0.584 0.735
0.163 0.909 0.485
0.254 0.163 0.985
0.333 0.667 0.214
0.416 0.522 0.735
0.478 0.895 0.735
0.522 0.105 0.235
0.584 0.478 0.235
0.667 0.333 0.714
0.746 0.837 0.485
0.837 0.091 0.985
0.895 0.416 0.235
0.909 0.746 0.985
```

# AgPt3F

AgPt3F after structural relaxation (PBE, Alexandria).

Results
- Formation energy (no corrections): 0.75 eV per atom
- E_tot: -19.08 eV/cell
- Space group: Pm-3m, No. 221
- Spin magnetization: 1.1 μB/f.u.

POSCAR file:
```
AgPt3F
1.0
4.396 0.000 0.000
0.000 4.396 0.000
0.000 0.000 4.396
Ag Pt F
1 3 1
Direct
0.000 0.000 0.000
0.000 0.500 0.500
0.500 0.000 0.500
0.500 0.500 0.000
0.500 0.500 0.500
```

# Tb7Pr12Ho

Tb7Pr12Ho after structural relaxation (PBE, Alexandria).

Results
- E_tot: -90.02 eV/cell
- Space group: R-3, No. 148
- ΔE_f: 0.22 eV/atom
- Spin magnetization: 0.0 μB/f.u.

POSCAR file:
```
Tb7Pr12Ho
1.0
6.140 3.545 5.396
-6.140 3.545 5.396
0.000 -7.090 5.396
Tb Pr Ho
7 12 1
Direct
0.000 0.000 0.000
0.141 0.611 0.494
0.389 0.506 0.859
0.494 0.141 0.611
0.506 0.859 0.389
0.611 0.494 0.141
0.859 0.389 0.506
0.080 0.397 0.151
0.151 0.080 0.397
0.151 0.275 0.745
0.255 0.849 0.725
0.275 0.745 0.151
0.397 0.151 0.080
0.603 0.849 0.920
0.725 0.255 0.849
0.745 0.151 0.275
0.849 0.725 0.255
0.849 0.920 0.603
0.920 0.603 0.849
0.500 0.500 0.500
```

# BaTeSe

BaTeSe after structural relaxation (PBE, Alexandria).

Results
- Formation energy (no corrections): -1.27 eV per atom
- E_tot: -49.46 eV/cell
- Space group: C2, No. 5
- Spin magnetization: 0.0 μB/f.u.

POSCAR file:
```
BaTeSe
1.0
10.176 0.000 0.000
0.000 5.208 0.000
-4.554 0.000 8.670
Ba Te Se
4 4 4
Direct
0.000 0.000 0.000
0.000 0.254 0.500
0.500 0.500 0.000
0.500 0.754 0.500
0.155 0.500 0.277
0.345 0.000 0.723
0.655 0.000 0.277
0.845 0.500 0.723
0.150 0.736 0.780
0.350 0.236 0.220
0.650 0.236 0.780
0.850 0.736 0.220
```

# Sr2LiAg6Ge

Sr2LiAg6Ge after structural relaxation (PBE, Alexandria).

Results
- E_tot: -27.80 eV/cell
- Space group: C2/m, No. 12
- ΔE_f: -0.08 eV/atom
- Spin magnetization: 0.0 μB/f.u.

POSCAR file:
```
Sr2LiAg6Ge
1.0
4.909 -4.971 0.000
4.909 4.971 0.000
-4.727 0.000 4.943
Sr Li Ag Ge
2 1 6 1
Direct
0.213 0.787 0.000
0.787 0.213 0.000
0.500 0.500 0.500
0.260 0.740 0.500
0.299 0.299 0.013
0.304 0.304 0.595
0.696 0.696 0.405
0.701 0.701 0.987
0.740 0.260 0.500
0.000 0.000 0.500
```

# MnGaFeMo2

MnGaFeMo2 after structural relaxation (PBE, Alexandria).

Results
- E_tot: -37.01 eV/cell
- Space group: P4/mmm, No. 123
- ΔE_f: 1.06 eV/atom
- Spin magnetization: 0.0 μB/f.u.

POSCAR file:
```
MnGaFeMo2
1.0
4.452 0.000 0.000
0.000 4.452 0.000
0.000 0.000 4.156
Mn Ga Fe Mo
1 1 1 2
Direct
0.000 0.000 0.000
0.500 0.500 0.000
0.000 0.000 0.500
0.000 0.500 0.500
0.500 0.000 0.500
```

# Be2CdOsO6

Be2CdOsO6 after structural relaxation (PBE, Alexandria).

Results
- Formation energy (no corrections): -1.54 eV per atom
- E_tot: -129.53 eV/cell
- Space group: C2/c, No. 15
- Spin magnetization: 2.0 μB/f.u.

POSCAR file:
```
Be2CdOsO6
1.0
4.912 -4.388 0.000
4.912 4.388 0.000
-2.227 0.000 5.267
Be Cd Os O
4 2 2 12
Direct
0.130 0.277 0.150
0.277 0.130 0.650
0.723 0.870 0.350
0.870 0.723 0.850
0.406 0.594 0.750
0.594 0.406 0.250
0.210 0.790 0.250
0.790 0.210 0.750
0.100 0.212 0.817
0.121 0.696 0.891
0.212 0.100 0.317
0.255 0.495 0.291
0.304 0.879 0.609
0.495 0.255 0.791
0.505 0.745 0.209
0.696 0.121 0.391
0.745 0.505 0.709
0.788 0.900 0.683
0.879 0.304 0.109
0.900 0.788 0.183
```

# SnAs2AuCl

SnAs2AuCl after structural relaxation (PBE, Alexandria).

Results
- Formation energy (no corrections): 0.88 eV per atom
- E_tot: -14.00 eV/cell
- Space group: P4/mmm, No. 123
- Spin magnetization: 0.0 μB/f.u.

POSCAR file:
```
SnAs2AuCl
1.0
4.893 0.000 0.000
0.000 4.893 0.000
0.000 0.000 5.319
Sn As Au Cl
1 2 1 1
Direct
0.000 0.000 0.000
0.000 0.500 0.500
0.500 0.000 0.500
0.500 0.500 0.000
0.000 0.000 0.500
```

# Y2FePb

Y2FePb after structural relaxation (PBE, Alexandria).

Results
- E_tot: -97.39 eV/cell
- Space group: F-43m, No. 216
- ΔE_f: 0.19 eV/atom
- Spin magnetization: 0.1 μB/f.u.

POSCAR file:
```
Y2FePb
1.0
7.116 0.000 0.000
0.000 7.116 0.000
0.000 0.000 7.116
Y Fe Pb
8 4 4
Direct
0.000 0.000 0.000
0.000 0.500 0.500
0.250 0.250 0.250
0.250 0.750 0.750
0.500 0.000 0.500
0.500 0.500 0.000
0.750 0.250 0.750
0.750 0.750 0.250
0.250 0.250 0.750
0.250 0.750 0.250
0.750 0.250 0.250
0.750 0.750 0.750
0.000 0.000 0.500
0.000 0.500 0.000
0.500 0.000 0.000
0.500 0.500 0.500
```

# Ac8NdIn2

Ac8NdIn2 after structural relaxation (PBE, Alexandria).

Results
- E_tot: -43.63 eV/cell
- Space group: C2/m, No. 12
- ΔE_f: -0.05 eV/atom
- Spin magnetization: 0.0 μB/f.u.

POSCAR file:
```
Ac8NdIn2
1.0
8.856 -3.732 0.000
8.856 3.732 0.000
-0.748 0.000 6.900
Ac Nd In
8 1 2
Direct
0.087 0.087 0.390
0.148 0.653 0.106
0.294 0.294 0.653
0.347 0.852 0.894
0.653 0.148 0.106
0.706 0.706 0.347
0.852 0.347 0.894
0.913 0.913 0.610
0.500 0.500 0.500
0.242 0.242 0.152
0.758 0.758 0.848
```

# SiRh2W

SiRh2W after structural relaxation (PBE, Alexandria).

Results
- Formation energy (no corrections): -0.22 eV per atom
- E_tot: -33.96 eV/cell
- Space group: Pmm2, No. 25
- Spin magnetization: 0.0 μB/f.u.

POSCAR file:
```
SiRh2W
1.0
2.817 0.000 0.000
0.000 3.805 0.000
0.000 0.000 5.387
Si Rh W
1 2 1
Direct
0.000 0.000 0.000
0.000 0.000 0.518
0.500 0.500 0.827
0.500 0.500 0.306
```

# La2YAg

La2YAg after structural relaxation (PBE, Alexandria).

Results
- E_tot: -57.49 eV/cell
- Space group: R3m, No. 160
- ΔE_f: 0.00 eV/atom
- Spin magnetization: 0.0 μB/f.u.

POSCAR file:
```
La2YAg
1.0
3.728 0.000 0.000
-1.864 3.228 0.000
0.000 0.000 32.123
La Y Ag
6 3 3
Direct
0.000 0.000 0.000
0.000 0.000 0.182
0.333 0.667 0.667
0.333 0.667 0.849
0.667 0.333 0.333
0.667 0.333 0.515
0.000 0.000 0.424
0.333 0.667 0.090
0.667 0.333 0.757
0.000 0.000 0.592
0.333 0.667 0.258
0.667 0.333 0.925
```

# Cr2CdHg

Cr2CdHg after structural relaxation (PBE, Alexandria).

Results
- E_tot: -34.63 eV/cell
- Space group: I4/mmm, No. 139
- ΔE_f: 0.79 eV/atom
- Spin magnetization: 0.8 μB/f.u.

POSCAR file:
```
Cr2CdHg
1.0
3.870 0.000 0.000
0.000 3.870 0.000
0.000 0.000 8.614
Cr Cd Hg
4 2 2
Direct
0.000 0.500 0.250
0.000 0.500 0.750
0.500 0.000 0.250
0.500 0.000 0.750
0.000 0.000 0.000
0.500 0.500 0.500
0.000 0.000 0.500
0.500 0.500 0.000
```

# V5Ga2Ru

V5Ga2Ru after structural relaxation (PBE, Alexandria).

Results
- E_tot: -125.41 eV/cell
- Space group: Pbam, No. 55
- ΔE_f: -0.22 eV/atom
- Spin magnetization: 0.0 μB/f.u.

POSCAR file:
```
V5Ga2Ru
1.0
5.214 0.000 0.000
0.000 10.259 0.000
0.000 0.000 4.097
V Ga Ru
10 4 2
Direct
0.000 0.000 0.000
0.100 0.255 0.000
0.180 0.866 0.500
0.320 0.366 0.500
0.400 0.755 0.000
0.500 0.500 0.000
0.600 0.245 0.000
0.680 0.634 0.500
0.820 0.134 0.500
0.900 0.745 0.000
0.192 0.616 0.500
0.308 0.116 0.500
0.692 0.884 0.500
0.808 0.384 0.500
0.000 0.500 0.000
0.500 0.000 0.000
```

# Nd2ScAs

Nd2ScAs after structural relaxation (PBE, Alexandria).

Results
- E_tot: -64.71 eV/cell
- Space group: R-3m, No. 166
- ΔE_f: -0.26 eV/atom
- Spin magnetization: 0.1 μB/f.u.

POSCAR file:
```
Nd2ScAs
1.0
3.879 0.000 0.000
-1.940 3.360 0.000
0.000 0.000 30.300
Nd Sc As
6 3 3
Direct
0.000 0.000 0.107
0.000 0.000 0.893
0.333 0.667 0.559
0.333 0.667 0.774
0.667 0.333 0.226
0.667 0.333 0.441
0.000 0.000 0.000
0.333 0.667 0.667
0.667 0.333 0.333
0.000 0.000 0.500
0.333 0.667 0.167
0.667 0.333 0.833
```

# ZrAl2IrBr

ZrAl2IrBr after structural relaxation (PBE, Alexandria).

Results
- Formation energy (no corrections): 1.33 eV per atom
- E_tot: -19.90 eV/cell
- Space group: P4/mmm, No. 123
- Spin magnetization: 1.3 μB/f.u.

POSCAR file:
```
ZrAl2IrBr
1.0
5.324 0.000 0.000
0.000 5.324 0.000
0.000 0.000 4.974
Zr Al Ir Br
1 2 1 1
Direct
0.000 0.000 0.000
0.000 0.500 0.000
0.500 0.000 0.000
0.500 0.500 0.500
0.000 0.000 0.500
```

# AlZnGaF6

AlZnGaF6 after structural relaxation (PBE, Alexandria).

Results
- Formation energy (no corrections): -2.70 eV per atom
- E_tot: -43.56 eV/cell
- Space group: P312, No. 149
- Spin magnetization: 0.0 μB/f.u.

POSCAR file:
```
AlZnGaF6
1.0
5.269 0.000 0.000
-2.634 4.563 0.000
0.000 0.000 5.559
Al Zn Ga F
1 1 1 6
Direct
0.000 0.000 0.000
0.667 0.333 0.000
0.333 0.667 0.500
0.301 0.027 0.188
0.301 0.273 0.812
0.727 0.027 0.812
0.727 0.699 0.188
0.973 0.273 0.188
0.973 0.699 0.812
```